Compound: MnZn2
Source: Alexandria via LeMat-Bulk
Functional: PBE-GGA
Structure: optimized geometry

Cell lengths 6.381, 6.381, 4.252 Å; angles 90.00, 90.00, 90.00 degrees
Space group I4/mcm (No. 140)
Asymmetric unit:
Mn1 0.000 0.000 0.250
Zn1 0.158 0.342 0.000

## Properties
E_form = 0.2773 eV per atom

---

Compound: SiNF
Source: Alexandria via LeMat-Bulk
Functional: PBE-GGA
Structure: optimized geometry

Cell lengths 2.915, 5.483, 4.837 Å; angles 90.00, 90.00, 90.00 degrees
Space group Pmn2_1 (No. 31)
Asymmetric unit:
Si1 0.000 0.104 0.000
N1 0.000 0.974 0.328
F1 0.000 0.394 0.044

## Properties
Formation energy from raw total energies = -1958.8 meV per atom

---

Compound: BaHCl
Source: Alexandria via LeMat-Bulk
Functional: PBE-GGA
Structure: optimized geometry

Cell lengths 4.3581, 4.3581, 4.4992 Å; angles 90.00, 90.00, 120.00 degrees
Space group P-6m2 (No. 187)
Asymmetric unit:
Ba1 0.0000 0.0000 0.0000
H1 0.3333 0.6667 0.0000
Cl1 0.6667 0.3333 0.5000

## Properties
Polymorph energy (0 for the lowest one) = 0.271 eV per formula unit

---

Compound: H3AuN
Source: Alexandria via LeMat-Bulk
Functional: PBE-GGA
Structure: optimized geometry

Cell lengths 9.183, 10.838, 5.985 Å; angles 90.00, 116.07, 90.00 degrees
Space group C2/c (No. 15)
Asymmetric unit:
H1 0.085 0.095 0.178
H2 0.120 0.426 0.207
H3 0.240 0.318 0.188
Au1 0.000 0.204 0.250
Au2 0.000 0.347 0.750
N1 0.120 0.341 0.131

## Properties
Polymorph energy (0 for the lowest one) = 0.000 eV per formula unit

---

Compound: LiAgSbI2
Source: Alexandria via LeMat-Bulk
Functional: PBE-GGA
Structure: optimized geometry

Cell lengths 5.957, 5.957, 5.364 Å; angles 90.00, 90.00, 90.00 degrees
Space group P4/mmm (No. 123)
Asymmetric unit:
Li1 0.000 0.000 0.000
Ag1 0.500 0.500 0.500
Sb1 0.500 0.500 0.000
I1 0.000 0.500 0.500

## Properties
Formation energy from raw total energies = 94.4 meV per atom
Polymorph energy (0 for the lowest one) = 0.000 eV per formula unit

---

Compound: Ca2LaPb
Source: Alexandria via LeMat-Bulk
Functional: PBE-GGA
Structure: optimized geometry

Cell lengths 3.7166, 3.7166, 35.6353 Å; angles 90.00, 90.00, 120.00 degrees
Space group R-3m (No. 166, hexagonal axes)
Asymmetric unit:
Ca1 0.0000 0.0000 0.2422
La1 0.0000 0.0000 0.0000
Pb1 0.0000 0.0000 0.5000

## Properties
E_form = -0.1525 eV per atom

---

Compound: Th6Fe2Ag
Source: Alexandria via LeMat-Bulk
Functional: PBE-GGA
Structure: optimized geometry

Cell lengths 9.151, 9.958, 10.343 Å; angles 90.00, 90.00, 90.00 degrees
Space group Immm (No. 71)
Asymmetric unit:
Th1 0.000 0.207 0.226
Th2 0.194 0.500 0.172
Th3 0.201 0.323 0.500
Fe1 0.000 0.347 0.000
Fe2 0.000 0.500 0.365
Ag1 0.000 0.000 0.000
Ag2 0.000 0.000 0.500

## Properties
E_form = -0.0298 eV per atom

---

Compound: Sc6SnSb2Se3
Source: Alexandria via LeMat-Bulk
Functional: PBE-GGA
Structure: optimized geometry

Cell lengths 17.599, 3.998, 8.092 Å; angles 90.00, 104.24, 90.00 degrees
Space group C2/m (No. 12)
Asymmetric unit:
Sc1 0.004 0.000 0.244
Sc2 0.165 0.500 0.090
Sc3 0.169 0.500 0.573
Sn1 0.000 0.500 0.500
Sb1 0.166 0.000 0.832
Se1 0.000 0.500 0.000
Se2 0.168 0.000 0.332

## Properties
Formation energy from raw total energies = -1201.6 meV per atom